La2GaGe4Pd3 | Alexandria via LeMat-Bulk | PBE | optimized geometry; calculated total energy = -5.49 eV/atom; total magnetic moment = 0.0 μB per cell; crystal system = tetragonal; symmetry = No. 115
1.0
-2.348 -3.536 0.895
1.219 0.243 4.156
-8.410 6.117 2.110
Pd Ge La Ga
3 4 2 1
direct
0.500 0.000 0.873 Pd
0.000 0.500 0.127 Pd
0.000 0.000 0.500 Pd
0.000 0.500 0.360 Ge
0.500 0.500 0.000 Ge
0.000 0.000 0.000 Ge
0.500 0.000 0.640 Ge
0.000 0.500 0.755 La
0.500 0.000 0.245 La
0.500 0.500 0.500 Ga

TlCuSbI2 | Alexandria via LeMat-Bulk | PBE | optimized geometry; energy relative to the elements, uncorrected = 778 meV per atom; calculated total energy = -1.96 eV/atom; total magnetic moment = 1.7 μB per cell; energy above the lowest structure with this stoichiometry = 704 meV per atom; crystal system = tetragonal; symmetry = No. 123
1.0
6.203 0.000 0.000
0.000 6.203 0.000
0.000 0.000 5.836
Tl I Sb Cu
1 2 1 1
direct
0.000 0.000 0.000 Tl
0.500 0.000 0.000 I
0.000 0.500 0.000 I
0.000 0.000 0.500 Sb
0.500 0.500 0.500 Cu